A | Below is a geometry-optimized SnBiB2 structure, with properties calculated at the PBE-GGA level.

Values from the calculation:
crystal system	cubic
M_tot	0.000	μB/atom

a = 6.5679 Å, b = 6.5679 Å, c = 6.5679 Å
α = 90.00°, β = 90.00°, γ = 90.00°
Space group Fm-3m (No. 225)
Unique sites:
Sn1 0.0000 0.0000 0.0000 x4
Bi1 0.0000 0.0000 0.5000 x4
B1 0.2500 0.2500 0.2500 x8

B | Below is a geometry-optimized SnBiB2 structure, with properties calculated at the PBE-GGA level.

Values from the calculation:
crystal system	tetragonal
M_tot	0.000	μB/atom

a = 5.4492 Å, b = 5.4492 Å, c = 10.7417 Å
α = 90.00°, β = 90.00°, γ = 90.00°
Space group I-42d (No. 122)
Unique sites:
Sn1 0.0000 0.0000 0.0000 x4
Bi1 0.0000 0.0000 0.5000 x4
B1 0.2370 0.2500 0.1250 x8

Which structure loses on stability? A does.

A | Below is a geometry-optimized Sn3BiB structure, with properties calculated at the PBE-GGA level.

Values from the calculation:
crystal system	cubic
M_tot	0.000	μB/atom

a = 4.9759 Å, b = 4.9759 Å, c = 4.9759 Å
α = 90.00°, β = 90.00°, γ = 90.00°
Space group Pm-3m (No. 221)
Unique sites:
Sn1 0.0000 0.0000 0.5000 x3
Bi1 0.5000 0.5000 0.5000 x1
B1 0.0000 0.0000 0.0000 x1

B | Below is a geometry-optimized Sn3BiB structure, with properties calculated at the PBE-GGA level.

Values from the calculation:
crystal system	cubic
M_tot	0.000	μB/atom

a = 5.9316 Å, b = 5.9316 Å, c = 5.9316 Å
α = 90.00°, β = 90.00°, γ = 90.00°
Space group Pm-3m (No. 221)
Unique sites:
Sn1 0.0000 0.0000 0.5000 x3
Bi1 0.0000 0.0000 0.0000 x1
B1 0.5000 0.5000 0.5000 x1

Which structure loses on stability? B does.